meta-GGA SCAN Y3In5, PBEsol geometry; formation energy from the elements = -676 meV/atom; total moment = 0.00 μB per formula unit; E above lowest polymorph = 0.000 eV/atom; total energy = -511.73 eV/cell
1.0
6.296 0.000 0.000
-1.294 6.161 0.000
0.000 0.000 10.194
In Y
10 6
Cartesian
5.207 3.045 2.549
0.026 0.031 7.646
4.976 6.130 2.549
3.468 4.272 4.636
1.910 5.722 2.549
1.534 1.889 9.733
3.092 0.439 7.646
3.468 4.272 0.461
-0.206 3.116 7.646
1.534 1.889 5.559
1.900 2.341 2.549
3.101 3.820 7.646
0.261 4.899 0.000
4.741 1.262 0.000
0.261 4.899 5.097
4.741 1.262 5.097